Record 1
# GGA-PBE La2SbMo, optimized geometry
data_La2SbMo
_chemical_formula_sum 'La2 Sb1 Mo1'
_symmetry_space_group_name_H-M 'P 4 m m'
_symmetry_Int_Tables_number 99
_symmetry_space_group_name_Hall 'P 4 -2'
_cell_length_a 3.602
_cell_length_b 3.602
_cell_length_c 8.721
_cell_angle_alpha 90.00
_cell_angle_beta 90.00
_cell_angle_gamma 90.00
loop_
_atom_site_label
_atom_site_type_symbol
_atom_site_fract_x
_atom_site_fract_y
_atom_site_fract_z
La1 La 0.000 0.000 0.000
La2 La 0.500 0.500 0.381
Sb1 Sb 0.500 0.500 0.755
Mo1 Mo 0.000 0.000 0.618
# total DFT energy (no corrections): -6.256 eV per atom

Record 2
# GGA-PBE La3SbMo, optimized geometry
data_La3SbMo
_chemical_formula_sum 'La3 Sb1 Mo1'
_symmetry_space_group_name_H-M 'P m -3 m'
_symmetry_Int_Tables_number 221
_symmetry_space_group_name_Hall '-P 4 2 3'
_cell_length_a 5.459
_cell_length_b 5.459
_cell_length_c 5.459
_cell_angle_alpha 90.00
_cell_angle_beta 90.00
_cell_angle_gamma 90.00
loop_
_atom_site_label
_atom_site_type_symbol
_atom_site_fract_x
_atom_site_fract_y
_atom_site_fract_z
La1 La 0.000 0.000 0.500
Sb1 Sb 0.500 0.500 0.500
Mo1 Mo 0.000 0.000 0.000
# total DFT energy (no corrections): -6.123 eV per atom

Record 3
# GGA-PBE LaSbMo2, optimized geometry
data_LaSbMo2
_chemical_formula_sum 'La1 Sb1 Mo2'
_symmetry_space_group_name_H-M 'P 1 2/m 1'
_symmetry_Int_Tables_number 10
_symmetry_space_group_name_Hall '-P 2y'
_cell_length_a 3.982
_cell_length_b 4.897
_cell_length_c 5.076
_cell_angle_alpha 90.00
_cell_angle_beta 91.99
_cell_angle_gamma 90.00
loop_
_atom_site_label
_atom_site_type_symbol
_atom_site_fract_x
_atom_site_fract_y
_atom_site_fract_z
La1 La 0.000 0.000 0.000
Sb1 Sb 0.500 0.000 0.500
Mo1 Mo 0.427 0.500 0.783
# total DFT energy (no corrections): -7.333 eV per atom

Record 4
# GGA-PBE LaSbMo, optimized geometry
data_LaSbMo
_chemical_formula_sum 'La2 Sb2 Mo2'
_symmetry_space_group_name_H-M 'I 4 m m'
_symmetry_Int_Tables_number 107
_symmetry_space_group_name_Hall 'I 4 -2'
_cell_length_a 3.568
_cell_length_b 3.568
_cell_length_c 11.463
_cell_angle_alpha 90.00
_cell_angle_beta 90.00
_cell_angle_gamma 90.00
loop_
_atom_site_label
_atom_site_type_symbol
_atom_site_fract_x
_atom_site_fract_y
_atom_site_fract_z
La1 La 0.000 0.000 0.000
Sb1 Sb 0.000 0.000 0.289
Mo1 Mo 0.000 0.000 0.685
# total DFT energy (no corrections): -6.727 eV per atom

Record 5
# GGA-PBE LaSbMo2, optimized geometry
data_LaSbMo2
_chemical_formula_sum 'La2 Sb2 Mo4'
_symmetry_space_group_name_H-M 'C 1 m 1'
_symmetry_Int_Tables_number 8
_symmetry_space_group_name_Hall 'C -2y'
_cell_length_a 8.443
_cell_length_b 3.418
_cell_length_c 6.702
_cell_angle_alpha 90.00
_cell_angle_beta 100.47
_cell_angle_gamma 90.00
loop_
_atom_site_label
_atom_site_type_symbol
_atom_site_fract_x
_atom_site_fract_y
_atom_site_fract_z
La1 La 0.000 0.000 0.000
Sb1 Sb 0.272 0.500 0.337
Mo1 Mo 0.018 0.500 0.549
Mo2 Mo 0.244 0.000 0.678
# total DFT energy (no corrections): -7.558 eV per atom

Record 6
# GGA-PBE LaSbMo2, optimized geometry
data_LaSbMo2
_chemical_formula_sum 'La2 Sb2 Mo4'
_symmetry_space_group_name_H-M 'I -4 m 2'
_symmetry_Int_Tables_number 119
_symmetry_space_group_name_Hall 'I -4 -2'
_cell_length_a 4.672
_cell_length_b 4.672
_cell_length_c 7.754
_cell_angle_alpha 90.00
_cell_angle_beta 90.00
_cell_angle_gamma 90.00
loop_
_atom_site_label
_atom_site_type_symbol
_atom_site_fract_x
_atom_site_fract_y
_atom_site_fract_z
La1 La 0.000 0.000 0.000
Sb1 Sb 0.000 0.500 0.250
Mo1 Mo 0.000 0.000 0.500
Mo2 Mo 0.000 0.500 0.750
# total DFT energy (no corrections): -7.263 eV per atom

Record 7
# GGA-PBE LaSbMo, optimized geometry
data_LaSbMo
_chemical_formula_sum 'La4 Sb4 Mo4'
_symmetry_space_group_name_H-M 'F -4 3 m'
_symmetry_Int_Tables_number 216
_symmetry_space_group_name_Hall 'F -4 2 3'
_cell_length_a 7.320
_cell_length_b 7.320
_cell_length_c 7.320
_cell_angle_alpha 90.00
_cell_angle_beta 90.00
_cell_angle_gamma 90.00
loop_
_atom_site_label
_atom_site_type_symbol
_atom_site_fract_x
_atom_site_fract_y
_atom_site_fract_z
La1 La 0.000 0.000 0.000
Sb1 Sb 0.250 0.250 0.250
Mo1 Mo 0.250 0.250 0.750
# total DFT energy (no corrections): -5.719 eV per atom

Record 8
# GGA-PBE La2SbMo, optimized geometry
data_La2SbMo
_chemical_formula_sum 'La4 Sb2 Mo2'
_symmetry_space_group_name_H-M 'I -4 m 2'
_symmetry_Int_Tables_number 119
_symmetry_space_group_name_Hall 'I -4 -2'
_cell_length_a 4.623
_cell_length_b 4.623
_cell_length_c 9.978
_cell_angle_alpha 90.00
_cell_angle_beta 90.00
_cell_angle_gamma 90.00
loop_
_atom_site_label
_atom_site_type_symbol
_atom_site_fract_x
_atom_site_fract_y
_atom_site_fract_z
La1 La 0.000 0.000 0.000
La2 La 0.000 0.500 0.250
Sb1 Sb 0.000 0.000 0.500
Mo1 Mo 0.000 0.500 0.750
# total DFT energy (no corrections): -6.212 eV per atom

Record 9
# GGA-PBE La2SbMo, optimized geometry
data_La2SbMo
_chemical_formula_sum 'La8 Sb4 Mo4'
_symmetry_space_group_name_H-M 'I -4 2 d'
_symmetry_Int_Tables_number 122
_symmetry_space_group_name_Hall 'I -4 2bw'
_cell_length_a 8.521
_cell_length_b 8.521
_cell_length_c 6.042
_cell_angle_alpha 90.00
_cell_angle_beta 90.00
_cell_angle_gamma 90.00
loop_
_atom_site_label
_atom_site_type_symbol
_atom_site_fract_x
_atom_site_fract_y
_atom_site_fract_z
La1 La 0.184 0.250 0.125
Sb1 Sb 0.000 0.000 0.500
Mo1 Mo 0.000 0.000 0.000
# total DFT energy (no corrections): -6.115 eV per atom

Record 10
# GGA-PBE LaSbMo2, optimized geometry
data_LaSbMo2
_chemical_formula_sum 'La2 Sb2 Mo4'
_symmetry_space_group_name_H-M 'I m m 2'
_symmetry_Int_Tables_number 44
_symmetry_space_group_name_Hall 'I 2 -2'
_cell_length_a 3.423
_cell_length_b 4.834
_cell_length_c 10.375
_cell_angle_alpha 90.00
_cell_angle_beta 90.00
_cell_angle_gamma 90.00
loop_
_atom_site_label
_atom_site_type_symbol
_atom_site_fract_x
_atom_site_fract_y
_atom_site_fract_z
La1 La 0.000 0.000 0.000
Sb1 Sb 0.000 0.500 0.217
Mo1 Mo 0.000 0.000 0.468
Mo2 Mo 0.000 0.500 0.775
# total DFT energy (no corrections): -7.406 eV per atom

Record 11
# GGA-PBE La2SbMo, optimized geometry
data_La2SbMo
_chemical_formula_sum 'La6 Sb3 Mo3'
_symmetry_space_group_name_H-M 'R -3 m'
_symmetry_Int_Tables_number 166
_symmetry_space_group_name_Hall '-R 3 2"'
_cell_length_a 3.8677
_cell_length_b 3.8677
_cell_length_c 27.1467
_cell_angle_alpha 90.00
_cell_angle_beta 90.00
_cell_angle_gamma 120.00
loop_
_atom_site_label
_atom_site_type_symbol
_atom_site_fract_x
_atom_site_fract_y
_atom_site_fract_z
La1 La 0.0000 0.0000 0.2441
Sb1 Sb 0.0000 0.0000 0.0000
Mo1 Mo 0.0000 0.0000 0.5000
# total DFT energy (no corrections): -6.027 eV per atom

Record 12
# GGA-PBE La2SbMo, optimized geometry
data_La2SbMo
_chemical_formula_sum 'La8 Sb4 Mo4'
_symmetry_space_group_name_H-M 'F -4 3 m'
_symmetry_Int_Tables_number 216
_symmetry_space_group_name_Hall 'F -4 2 3'
_cell_length_a 7.337
_cell_length_b 7.337
_cell_length_c 7.337
_cell_angle_alpha 90.00
_cell_angle_beta 90.00
_cell_angle_gamma 90.00
loop_
_atom_site_label
_atom_site_type_symbol
_atom_site_fract_x
_atom_site_fract_y
_atom_site_fract_z
La1 La 0.000 0.000 0.000
La2 La 0.250 0.250 0.250
Sb1 Sb 0.250 0.250 0.750
Mo1 Mo 0.000 0.000 0.500
# total DFT energy (no corrections): -6.174 eV per atom

Record 13
# GGA-PBE La2SbMo, optimized geometry
data_La2SbMo
_chemical_formula_sum 'La4 Sb2 Mo2'
_symmetry_space_group_name_H-M 'I 4/m m m'
_symmetry_Int_Tables_number 139
_symmetry_space_group_name_Hall '-I 4 2'
_cell_length_a 4.841
_cell_length_b 4.841
_cell_length_c 9.084
_cell_angle_alpha 90.00
_cell_angle_beta 90.00
_cell_angle_gamma 90.00
loop_
_atom_site_label
_atom_site_type_symbol
_atom_site_fract_x
_atom_site_fract_y
_atom_site_fract_z
La1 La 0.000 0.500 0.250
Sb1 Sb 0.000 0.000 0.000
Mo1 Mo 0.000 0.000 0.500
# total DFT energy (no corrections): -6.205 eV per atom

Record 14
# GGA-PBE La2SbMo, optimized geometry
data_La2SbMo
_chemical_formula_sum 'La4 Sb2 Mo2'
_symmetry_space_group_name_H-M 'A m m 2'
_symmetry_Int_Tables_number 38
_symmetry_space_group_name_Hall 'A 2 -2'
_cell_length_a 4.521
_cell_length_b 4.372
_cell_length_c 11.594
_cell_angle_alpha 90.00
_cell_angle_beta 90.00
_cell_angle_gamma 90.00
loop_
_atom_site_label
_atom_site_type_symbol
_atom_site_fract_x
_atom_site_fract_y
_atom_site_fract_z
La1 La 0.000 0.000 0.000
La2 La 0.500 0.000 0.284
Sb1 Sb 0.000 0.000 0.707
Mo1 Mo 0.500 0.000 0.563
# total DFT energy (no corrections): -6.415 eV per atom

Record 15
# GGA-PBE LaSbMo2, optimized geometry
data_LaSbMo2
_chemical_formula_sum 'La2 Sb2 Mo4'
_symmetry_space_group_name_H-M 'C m m m'
_symmetry_Int_Tables_number 65
_symmetry_space_group_name_Hall '-C 2 2'
_cell_length_a 3.493
_cell_length_b 5.307
_cell_length_c 8.991
_cell_angle_alpha 90.00
_cell_angle_beta 90.00
_cell_angle_gamma 90.00
loop_
_atom_site_label
_atom_site_type_symbol
_atom_site_fract_x
_atom_site_fract_y
_atom_site_fract_z
La1 La 0.000 0.000 0.000
Sb1 Sb 0.000 0.000 0.500
Mo1 Mo 0.000 0.500 0.270
# total DFT energy (no corrections): -7.077 eV per atom